A relaxed LiFePtPb crystal. Source: the Open Quantum Materials Database, functional PBE. Values from VASP.

Geometry as Quantum ESPRESSO input:
```
&SYSTEM
  ibrav = 0, nat = 4, ntyp = 4
/
ATOMIC_SPECIES
Fe 55.84 Fe.upf
Li 6.94 Li.upf
Pb 207.20 Pb.upf
Pt 195.08 Pt.upf
CELL_PARAMETERS angstrom
0.000 3.184 3.184
3.184 0.000 3.184
3.184 3.184 0.000
ATOMIC_POSITIONS crystal
Fe 0.750 0.750 0.750
Li 0.250 0.250 0.250
Pb 0.000 0.000 0.000
Pt 0.500 0.500 0.500
```

Computed properties:
Distance to the lowest polymorph of the same formula   0.000 eV per atom